[1]
# AgTe2As GGA-PBE relaxed
# **DOS(E_F)**: 4.130 states/eV per cell
# **Formation energy (no corrections)**: 0.153 eV/atom
# **Density**: 6.87 g cm⁻³
data_AgTe2As
_cell_length_a 4.168
_cell_length_b 4.178
_cell_length_c 12.156
_cell_angle_alpha 90.00
_cell_angle_beta 90.00
_cell_angle_gamma 90.00
_space_group_name_H-M_alt 'I m m m'
_space_group_IT_number 71
_space_group_name_Hall '-I 2 2'
loop_
_atom_site_label
_atom_site_type_symbol
_atom_site_fract_x
_atom_site_fract_y
_atom_site_fract_z
Ag1 Ag 0.000 0.000 0.000
Te1 Te 0.000 0.500 0.171
As1 As 0.000 0.000 0.500



[2]
# NaSr2Bi GGA-PBE relaxed
# **DOS(E_F)**: 2.945 states/eV per cell
# **Density**: 4.26 g cm⁻³
# **Energy relative to the elements**: -0.456 eV/atom
data_NaSr2Bi
_cell_length_a 4.369
_cell_length_b 4.369
_cell_length_c 8.317
_cell_angle_alpha 90.00
_cell_angle_beta 90.00
_cell_angle_gamma 90.00
_space_group_name_H-M_alt 'P 4/m m m'
_space_group_IT_number 123
_space_group_name_Hall '-P 4 2'
loop_
_atom_site_label
_atom_site_type_symbol
_atom_site_fract_x
_atom_site_fract_y
_atom_site_fract_z
Na1 Na 0.000 0.000 0.000
Sr1 Sr 0.500 0.500 0.288
Bi1 Bi 0.000 0.000 0.500



[3]
# Rb2Sn7Sb GGA-PBE relaxed
# **DOS(E_F)**: 4.532 states/eV per cell
# **Formation energy (no corrections)**: -0.135 eV/atom
# **Density**: 5.32 g cm⁻³
data_Rb2Sn7Sb
_cell_length_a 5.455
_cell_length_b 5.455
_cell_length_c 11.778
_cell_angle_alpha 90.00
_cell_angle_beta 90.00
_cell_angle_gamma 90.00
_space_group_name_H-M_alt 'P -4 m 2'
_space_group_IT_number 115
loop_
_space_group_symop_operation_xyz
'x,y,z'
'y,-x,-z'
'-x,-y,z'
'-y,x,-z'
'-x,y,z'
'-y,-x,-z'
'x,-y,z'
'y,x,-z'
loop_
_atom_site_label
_atom_site_type_symbol
_atom_site_fract_x
_atom_site_fract_y
_atom_site_fract_z
Rb1 Rb 0.000 0.500 0.247
Sn1 Sn 0.000 0.000 0.000
Sn2 Sn 0.000 0.000 0.500
Sn3 Sn 0.000 0.500 0.621
Sn4 Sn 0.000 0.500 0.885
Sn5 Sn 0.500 0.500 0.500
Sb1 Sb 0.500 0.500 0.000



[4]
# Pu2ZrGa GGA-PBE relaxed
# **DOS(E_F)**: 8.893 states/eV per cell
# **Density**: 12.33 g cm⁻³
# **Energy relative to the elements**: -0.183 eV/atom
data_Pu2ZrGa
_cell_length_a 4.247
_cell_length_b 4.247
_cell_length_c 4.844
_cell_angle_alpha 90.00
_cell_angle_beta 90.00
_cell_angle_gamma 90.00
_space_group_name_H-M_alt 'P 4/m m m'
_space_group_IT_number 123
_space_group_name_Hall '-P 4 2'
loop_
_atom_site_label
_atom_site_type_symbol
_atom_site_fract_x
_atom_site_fract_y
_atom_site_fract_z
Pu1 Pu 0.000 0.500 0.000
Zr1 Zr 0.000 0.000 0.500
Ga1 Ga 0.500 0.500 0.500



[5]
# TbAl2Fe GGA-PBE relaxed
# **DOS(E_F)**: 2.604 states/eV per cell
# **Density**: 6.59 g cm⁻³
# **Energy relative to the elements**: -0.265 eV/atom
data_TbAl2Fe
_cell_length_a 3.044
_cell_length_b 3.044
_cell_length_c 7.308
_cell_angle_alpha 90.00
_cell_angle_beta 90.00
_cell_angle_gamma 90.00
_space_group_name_H-M_alt 'P 4/m m m'
_space_group_IT_number 123
_space_group_name_Hall '-P 4 2'
loop_
_atom_site_label
_atom_site_type_symbol
_atom_site_fract_x
_atom_site_fract_y
_atom_site_fract_z
Tb1 Tb 0.000 0.000 0.000
Al1 Al 0.500 0.500 0.319
Fe1 Fe 0.000 0.000 0.500



[6]
# Ag2BrF2 GGA-PBE relaxed
# **DOS(E_F)**: 17.223 states/eV per cell
# **Formation energy (no corrections)**: -0.676 eV/atom
# **Density**: 6.90 g cm⁻³
data_Ag2BrF2
_cell_length_a 7.337
_cell_length_b 7.337
_cell_length_c 2.983
_cell_angle_alpha 90.00
_cell_angle_beta 90.00
_cell_angle_gamma 90.00
_space_group_name_H-M_alt 'P 4/m b m'
_space_group_IT_number 127
_space_group_name_Hall '-P 4 2ab'
loop_
_atom_site_label
_atom_site_type_symbol
_atom_site_fract_x
_atom_site_fract_y
_atom_site_fract_z
Ag1 Ag 0.151 0.349 0.000
Br1 Br 0.000 0.000 0.000
F1 F 0.136 0.636 0.500



[7]
# YCr2H7 GGA-PBE relaxed
# **DOS(E_F)**: 5.297 states/eV per cell
# **Total energy**: -5.02 eV per atom
# **Density**: 4.31 g cm⁻³
data_YCr2H7
_cell_length_a 5.152
_cell_length_b 9.171
_cell_length_c 3.258
_cell_angle_alpha 90.00
_cell_angle_beta 90.00
_cell_angle_gamma 90.00
_space_group_name_H-M_alt 'C m m m'
_space_group_IT_number 65
_space_group_name_Hall '-C 2 2'
loop_
_atom_site_label
_atom_site_type_symbol
_atom_site_fract_x
_atom_site_fract_y
_atom_site_fract_z
Y1 Y 0.000 0.000 0.000
Cr1 Cr 0.000 0.316 0.500
H1 H 0.000 0.374 0.000
H2 H 0.000 0.500 0.500
H3 H 0.174 0.147 0.500



[8]
# Cs3Ce3AuSe8 GGA-PBE relaxed
# **DOS(E_F)**: 31.690 states/eV per cell
# **Formation energy (no corrections)**: -1.352 eV/atom
# **Density**: 5.08 g cm⁻³
data_Cs3Ce3AuSe8
_cell_length_a 15.413
_cell_length_b 8.304
_cell_length_c 9.911
_cell_angle_alpha 90.00
_cell_angle_beta 121.90
_cell_angle_gamma 90.00
_space_group_name_H-M_alt 'C 1 2/m 1'
_space_group_IT_number 12
loop_
_space_group_symop_operation_xyz
'x,y,z'
'-x,-y,-z'
'-x,y,-z'
'x,-y,z'
'x+1/2,y+1/2,z'
'-x+1/2,-y+1/2,-z'
'-x+1/2,y+1/2,-z'
'x+1/2,-y+1/2,z'
loop_
_atom_site_label
_atom_site_type_symbol
_atom_site_fract_x
_atom_site_fract_y
_atom_site_fract_z
Cs1 Cs 0.000 0.000 0.000
Cs2 Cs 0.250 0.250 0.000
Ce1 Ce 0.000 0.500 0.500
Ce2 Ce 0.250 0.250 0.500
Au1 Au 0.000 0.000 0.500
Se1 Se 0.022 0.220 0.335
Se2 Se 0.205 0.500 0.274
Se3 Se 0.227 0.500 0.690



[9]
# U3MnTl4S8 GGA-PBE relaxed
# **DOS(E_F)**: 38.459 states/eV per cell
# **Formation energy (no corrections)**: -0.901 eV/atom
# **Density**: 7.42 g cm⁻³
data_U3MnTl4S8
_cell_length_a 7.9108
_cell_length_b 7.9108
_cell_length_c 22.8429
_cell_angle_alpha 90.00
_cell_angle_beta 90.00
_cell_angle_gamma 120.00
_space_group_name_H-M_alt 'R -3 m'
_space_group_IT_number 166
_space_group_name_Hall '-R 3 2"'
loop_
_atom_site_label
_atom_site_type_symbol
_atom_site_fract_x
_atom_site_fract_y
_atom_site_fract_z
U1 U 0.0000 0.5000 0.0000
Mn1 Mn 0.0000 0.0000 0.0000
Tl1 Tl 0.0000 0.0000 0.5000
Tl2 Tl 0.0000 0.5000 0.5000
S1 S 0.0000 0.0000 0.2672
S2 S 0.0114 0.5057 0.7301



[10]
# SrTlTe2 GGA-PBE relaxed
# **DOS(E_F)**: 15.791 states/eV per cell
# **Formation energy (no corrections)**: -0.795 eV/atom
# **Density**: 6.00 g cm⁻³
data_SrTlTe2
_cell_length_a 4.6352
_cell_length_b 4.6352
_cell_length_c 24.4223
_cell_angle_alpha 90.00
_cell_angle_beta 90.00
_cell_angle_gamma 120.00
_space_group_name_H-M_alt 'R 3 m'
_space_group_IT_number 160
_space_group_name_Hall 'R 3 -2"'
loop_
_atom_site_label
_atom_site_type_symbol
_atom_site_fract_x
_atom_site_fract_y
_atom_site_fract_z
Sr1 Sr 0.0000 0.0000 0.0000
Tl1 Tl 0.0000 0.0000 0.8316
Te1 Te 0.0000 0.0000 0.4145
Te2 Te 0.0000 0.0000 0.5863



[11]
# Rb4Ce GGA-PBE relaxed
# **DOS(E_F)**: 24.716 states/eV per cell
# **Density**: 1.75 g cm⁻³
# **Energy relative to the elements**: 0.773 eV/atom
data_Rb4Ce
_cell_length_a 7.701
_cell_length_b 7.701
_cell_length_c 7.701
_cell_angle_alpha 90.00
_cell_angle_beta 90.00
_cell_angle_gamma 90.00
_space_group_name_H-M_alt 'P m -3 m'
_space_group_IT_number 221
_space_group_name_Hall '-P 4 2 3'
loop_
_atom_site_label
_atom_site_type_symbol
_atom_site_fract_x
_atom_site_fract_y
_atom_site_fract_z
Rb1 Rb 0.000 0.000 0.000
Rb2 Rb 0.000 0.500 0.500
Ce1 Ce 0.500 0.500 0.500



[12]
# Nb4Ga2C GGA-PBE relaxed
# **DOS(E_F)**: 10.181 states/eV per cell
# **Density**: 7.17 g cm⁻³
# **Energy relative to the elements**: -0.097 eV/atom
data_Nb4Ga2C
_cell_length_a 4.165
_cell_length_b 4.165
_cell_length_c 13.971
_cell_angle_alpha 90.00
_cell_angle_beta 90.00
_cell_angle_gamma 90.00
_space_group_name_H-M_alt 'I 4/m m m'
_space_group_IT_number 139
_space_group_name_Hall '-I 4 2'
loop_
_atom_site_label
_atom_site_type_symbol
_atom_site_fract_x
_atom_site_fract_y
_atom_site_fract_z
Nb1 Nb 0.000 0.000 0.158
Nb2 Nb 0.000 0.500 0.000
Ga1 Ga 0.000 0.000 0.354
C1 C 0.000 0.000 0.000



Volume per entry: 26.46; 39.69; 35.05; 21.84; 16.93; 16.06; 7.70; 35.90; 25.79; 37.87; 91.33; 17.31 A^3/atom